No. 1
Density functional theory data (PBE) for GaS4 after structural relaxation.

Output
Formation energy without anion corrections, eV/atom: -0.068
ρ, g/cm3: 2.51
Magnetic moment, μB/f.u.: 0.0
Calculated volume, Å³ per cell: 261.7
Crystal system: triclinic
Space group: No. 1

Unit cell a=3.9856 b=8.0707 c=9.1795 alpha=115.33 beta=93.63 gamma=98.12
Closest atoms and distances in Å follow each position.
Fractional coordinates of all 10 atoms:
S1 0.0717 0.5211 0.3874  1 S 1.99
S2 0.9469 0.5757 0.9620  1 S 2.00
S3 0.6909 0.5104 0.5145  1 S 1.99
S4 0.5264 0.0638 0.0916  1 S 2.08
S5 0.6092 0.0288 0.8592  1 S 2.08, 1 Ga 2.29
S6 0.1193 0.0474 0.4129  1 S 2.07, 1 Ga 2.30
S7 0.0835 0.2606 0.6366  1 S 2.07
S8 0.3297 0.5050 0.0611  1 S 2.00
Ga1 0.5429 0.2849 0.8207  4 S 2.29-2.46
Ga2 0.0794 0.2021 0.2540  4 S 2.30-2.47

***

No. 2
Density functional theory data (PBE) for Ga2S3 after structural relaxation.

Output
Formation energy without anion corrections, eV/atom: -0.628
ρ, g/cm3: 3.16
Magnetic moment, μB/f.u.: 0.0
Calculated volume, Å³ per cell: 495.3
Crystal system: monoclinic
Space group: No. 14

Unit cell a=16.6863 b=7.4319 c=6.4793 alpha=90.00 beta=141.95 gamma=90.00
Closest atoms and distances in Å follow each position.
Fractional coordinates of all 20 atoms:
Ga1 0.3632 0.9252 0.7889  4 S 2.23-2.40
Ga2 0.0578 0.6888 0.1854  4 S 2.23-2.39
Ga3 0.6368 0.0748 0.2111  4 S 2.23-2.40
Ga4 0.9422 0.3112 0.8146  4 S 2.23-2.39
Ga5 0.5578 0.8112 0.6854  4 S 2.23-2.39
Ga6 0.1368 0.4252 0.7111  4 S 2.23-2.40
Ga7 0.8632 0.5748 0.2889  4 S 2.23-2.40
Ga8 0.4422 0.1888 0.3146  4 S 2.23-2.39
S1 0.4559 0.2210 0.9813  3 Ga 2.33-2.40
S2 0.8329 0.0935 0.7548  2 Ga 2.23
S3 0.3329 0.4065 0.2548  2 Ga 2.23
S4 0.9559 0.2790 0.4813  3 Ga 2.33-2.40
S5 0.6671 0.5935 0.7452  2 Ga 2.23
S6 0.1432 0.3891 0.3635  3 Ga 2.33-2.39
S7 0.6432 0.1109 0.8635  3 Ga 2.33-2.39
S8 0.1671 0.9065 0.2452  2 Ga 2.23
S9 0.8568 0.6109 0.6365  3 Ga 2.33-2.39
S10 0.3568 0.8891 0.1365  3 Ga 2.33-2.39
S11 0.5441 0.7790 0.0187  3 Ga 2.33-2.40
S12 0.0441 0.7210 0.5187  3 Ga 2.33-2.40

***

Q: Which of these has the highest calculated volume?
A: Ga2S3

***

Q: Which of these has the lowest calculated volume?
A: GaS4